No. 1
First-principles (PBE) data for a relaxed AgPtCl crystal, as listed in Alexandria.

Lattice parameters (Å, degrees): 6.333 6.333 6.333 90.00 90.00 90.00
Space group F-43m (No. 216)
Asymmetric unit:
Ag 0.000 0.000 0.000 (multiplicity 4)
Pt 0.250 0.250 0.750 (multiplicity 4)
Cl 0.000 0.000 0.500 (multiplicity 4)

Summary:
ΔE_f (raw) (eV/atom): 0.525
Energy above the most stable polymorph in this dataset (meV/atom): 268.5
E (eV/cell): -36.7
Density of states at the Fermi level (states/eV per atom): 1.585
Magnetic moment (μB/cell): 0.005

=====

No. 2
First-principles (PBE) data for a relaxed FeHRh2 crystal, as listed in Alexandria.

Lattice parameters (Å, degrees): 2.7470 2.7470 19.8574 90.00 90.00 120.00
Space group R3m (No. 160, hexagonal axes)
Asymmetric unit:
Fe 0.0000 0.0000 0.0000 (multiplicity 3)
H 0.0000 0.0000 0.8343 (multiplicity 3)
Rh 0.0000 0.0000 0.2284 (multiplicity 3)
Rh 0.0000 0.0000 0.4380 (multiplicity 3)

Summary:
E (eV/cell): -79.5
Density of states at the Fermi level (states/eV per atom): 1.250
Magnetic moment (μB/cell): 9.941